Run 1
Computed, not measured: a relaxed structure of TcIr5 at the PBE level of DFT.

a = 4.7752 Å, b = 4.7752 Å, c = 13.2240 Å
α = 90.00°, β = 90.00°, γ = 120.00°
With the nearest neighbours (Å) after each atom.
Space group R32 (No. 155, hexagonal axes)
Symmetry-distinct sites (fractional):
Tc 0.0000 0.0000 0.0000 [3 per cell]  12 Ir 2.72-2.76
Ir 0.0000 0.0000 0.3334 [6 per cell]  9 Ir 2.72-2.76, 3 Tc 2.76
Ir 0.9996 0.6663 0.8333 [9 per cell]  10 Ir 2.72-2.76, 2 Tc 2.72

- DOS(E_F) (states/eV/atom) = 0.88
- magnetic moment (μB per cell) = 0.00

Run 2
Computed, not measured: a relaxed structure of TcIr5 at the PBE level of DFT.

a = 2.7327 Å, b = 2.7327 Å, c = 11.6517 Å
α = 90.00°, β = 90.00°, γ = 90.00°
With the nearest neighbours (Å) after each atom.
Space group P4/mmm (No. 123)
Symmetry-distinct sites (fractional):
Tc 0.0000 0.0000 0.0000 [1 per cell]  8 Ir 2.72, 4 Tc 2.73
Ir 0.0000 0.0000 0.3354 [2 per cell]  12 Ir 2.72-2.78
Ir 0.5000 0.5000 0.1640 [2 per cell]  4 Tc 2.72, 8 Ir 2.73-2.78
Ir 0.5000 0.5000 0.5000 [1 per cell]  12 Ir 2.72-2.73

- DOS(E_F) (states/eV/atom) = 0.92
- magnetic moment (μB per cell) = 0.00

It comes down to run 1, which is 0.007 eV/atom more stable than the next structure.

Run 1
Computed, not measured: a relaxed structure of TcTe2Ir at the PBE level of DFT.

a = 3.2286 Å, b = 3.9335 Å, c = 7.0631 Å
α = 90.00°, β = 90.00°, γ = 90.00°
With the nearest neighbours (Å) after each atom.
Space group Pmm2 (No. 25)
Symmetry-distinct sites (fractional):
Tc 0.0000 0.0000 0.0000 [1 per cell]  5 Te 2.60-2.78
Te 0.0000 0.0000 0.6319 [1 per cell]  1 Tc 2.60, 4 Ir 2.77
Te 0.5000 0.5000 0.1602 [1 per cell]  1 Ir 2.64, 4 Tc 2.78
Ir 0.5000 0.5000 0.7870 [1 per cell]  5 Te 2.64-2.77

- DOS(E_F) (states/eV/atom) = 0.97
- magnetic moment (μB per cell) = 0.00

Run 2
Computed, not measured: a relaxed structure of TcTe2Ir at the PBE level of DFT.

a = 8.3803 Å, b = 3.3196 Å, c = 5.6151 Å
α = 90.00°, β = 102.79°, γ = 90.00°
With the nearest neighbours (Å) after each atom.
Space group C2/m (No. 12)
Symmetry-distinct sites (fractional):
Tc 0.0000 0.0000 0.0000 [2 per cell]  6 Te 2.74-2.80
Te 0.2426 0.5000 0.2436 [4 per cell]  3 Ir 2.74-2.85, 3 Tc 2.74-2.80
Ir 0.0000 0.5000 0.5000 [2 per cell]  6 Te 2.74-2.85

- DOS(E_F) (states/eV/atom) = 0.73
- magnetic moment (μB per cell) = 0.00

It comes down to run 1, which is 0.215 eV/atom more stable than the next structure.

Run 1
Computed, not measured: a relaxed structure of TcTe2Ir at the PBE level of DFT.

a = 6.4086 Å, b = 8.7783 Å, c = 2.9260 Å
α = 90.00°, β = 90.26°, γ = 90.00°
With the nearest neighbours (Å) after each atom.
Space group C2/m (No. 12)
Symmetry-distinct sites (fractional):
Tc 0.0000 0.0000 0.0000 [2 per cell]  4 Te 2.72, 2 Tc 2.93
Te 0.2500 0.2500 0.0000 [4 per cell]  2 Tc 2.72, 2 Ir 2.72, 2 Te 2.93
Ir 0.0000 0.5000 0.0000 [2 per cell]  4 Te 2.72, 2 Ir 2.93

- DOS(E_F) (states/eV/atom) = 1.32
- magnetic moment (μB per cell) = 0.00

Run 2
Computed, not measured: a relaxed structure of TcTe2Ir at the PBE level of DFT.

a = 3.6060 Å, b = 3.6060 Å, c = 25.1278 Å
α = 90.00°, β = 90.00°, γ = 120.00°
With the nearest neighbours (Å) after each atom.
Space group R-3m (No. 166, hexagonal axes)
Symmetry-distinct sites (fractional):
Tc 0.0000 0.0000 0.0000 [3 per cell]  2 Te 2.55
Te 0.0000 0.0000 0.1015 [6 per cell]  1 Tc 2.55, 3 Ir 2.65
Ir 0.0000 0.0000 0.5000 [3 per cell]  6 Te 2.65

- DOS(E_F) (states/eV/atom) = 1.02
- magnetic moment (μB per cell) = 0.49

It comes down to run 1, which is 0.007 eV/atom more stable than the next structure.

Run 1
Computed, not measured: a relaxed structure of TcTe2Ir at the PBE level of DFT.

a = 6.7084 Å, b = 6.7084 Å, c = 6.7084 Å
α = 90.00°, β = 90.00°, γ = 90.00°
With the nearest neighbours (Å) after each atom.
Space group Fm-3m (No. 225)
Symmetry-distinct sites (fractional):
Tc 0.0000 0.0000 0.0000 [4 per cell]  8 Te 2.90
Te 0.2500 0.2500 0.2500 [8 per cell]  4 Tc 2.90, 4 Ir 2.90
Ir 0.0000 0.0000 0.5000 [4 per cell]  8 Te 2.90

- DOS(E_F) (states/eV/atom) = 0.84
- magnetic moment (μB per cell) = 6.15

Run 2
Computed, not measured: a relaxed structure of TcTe2Ir at the PBE level of DFT.

a = 4.1283 Å, b = 4.1277 Å, c = 6.3707 Å
α = 90.00°, β = 90.08°, γ = 90.00°
With the nearest neighbours (Å) after each atom.
Space group Pm (No. 6)
Symmetry-distinct sites (fractional):
Tc 0.0000 0.0000 0.0000 [1 per cell]  4 Te 2.62, 4 Ir 2.92
Te 0.0005 0.5000 0.2522 [1 per cell]  2 Tc 2.62, 2 Ir 2.62
Te 0.4994 0.0000 0.7478 [1 per cell]  2 Ir 2.62, 2 Tc 2.62
Ir 0.5000 0.5000 0.0000 [1 per cell]  4 Te 2.62, 4 Tc 2.92

- DOS(E_F) (states/eV/atom) = 0.53
- magnetic moment (μB per cell) = 0.00

Run 3
Computed, not measured: a relaxed structure of TcTe2Ir at the PBE level of DFT.

a = 4.4118 Å, b = 3.3692 Å, c = 5.5424 Å
α = 90.00°, β = 111.91°, γ = 90.00°
With the nearest neighbours (Å) after each atom.
Space group P2/m (No. 10)
Symmetry-distinct sites (fractional):
Tc 0.0000 0.0000 0.0000 [1 per cell]  6 Te 2.77-2.78
Te 0.0000 0.0000 0.5000 [1 per cell]  2 Tc 2.77, 4 Ir 2.78
Te 0.5000 0.5000 0.0000 [1 per cell]  2 Ir 2.77, 4 Tc 2.78
Ir 0.5000 0.5000 0.5000 [1 per cell]  6 Te 2.77-2.78

- DOS(E_F) (states/eV/atom) = 0.85
- magnetic moment (μB per cell) = 0.00

It comes down to run 2, which is 0.435 eV/atom more stable than the next structure.

Run 1
Computed, not measured: a relaxed structure of TcTe2Ir at the PBE level of DFT.

a = 3.1900 Å, b = 4.5242 Å, c = 5.4322 Å
α = 90.00°, β = 90.00°, γ = 90.00°
With the nearest neighbours (Å) after each atom.
Space group Pmmm (No. 47)
Symmetry-distinct sites (fractional):
Tc 0.0000 0.0000 0.0000 [1 per cell]  4 Te 2.77
Te 0.0000 0.5000 0.5000 [1 per cell]  4 Ir 2.77
Te 0.5000 0.5000 0.0000 [1 per cell]  4 Tc 2.77
Ir 0.5000 0.0000 0.5000 [1 per cell]  4 Te 2.77

- DOS(E_F) (states/eV/atom) = 1.16
- magnetic moment (μB per cell) = 0.40

Run 2
Computed, not measured: a relaxed structure of TcTe2Ir at the PBE level of DFT.

a = 3.8497 Å, b = 4.0179 Å, c = 14.0329 Å
α = 90.00°, β = 90.00°, γ = 90.00°
With the nearest neighbours (Å) after each atom.
Space group Immm (No. 71)
Symmetry-distinct sites (fractional):
Tc 0.0000 0.0000 0.0000 [2 per cell]  4 Te 2.74, 4 Ir 2.78
Te 0.0000 0.5000 0.1327 [4 per cell]  2 Ir 2.68, 2 Tc 2.74
Ir 0.0000 0.0000 0.5000 [2 per cell]  4 Te 2.68, 4 Tc 2.78

- DOS(E_F) (states/eV/atom) = 0.72
- magnetic moment (μB per cell) = 3.50

Run 3
Computed, not measured: a relaxed structure of TcTe2Ir at the PBE level of DFT.

a = 3.3255 Å, b = 3.3255 Å, c = 23.9887 Å
α = 90.00°, β = 90.00°, γ = 120.00°
With the nearest neighbours (Å) after each atom.
Space group R-3m (No. 166, hexagonal axes)
Symmetry-distinct sites (fractional):
Tc 0.0000 0.0000 0.0000 [3 per cell]  6 Te 2.75
Te 0.0000 0.0000 0.2513 [6 per cell]  3 Tc 2.75, 3 Ir 2.80
Ir 0.0000 0.0000 0.5000 [3 per cell]  6 Te 2.80

- DOS(E_F) (states/eV/atom) = 0.89
- magnetic moment (μB per cell) = 0.00

Run 4
Computed, not measured: a relaxed structure of TcTe2Ir at the PBE level of DFT.

a = 3.0859 Å, b = 3.4493 Å, c = 17.3226 Å
α = 90.00°, β = 90.00°, γ = 90.00°
With the nearest neighbours (Å) after each atom.
Space group Imm2 (No. 44)
Symmetry-distinct sites (fractional):
Tc 0.0000 0.0000 0.0000 [2 per cell]  2 Ir 2.70, 4 Te 2.71
Te 0.0000 0.0000 0.5818 [2 per cell]  4 Tc 2.71
Te 0.0000 0.5000 0.7906 [2 per cell]  4 Ir 2.71
Ir 0.0000 0.5000 0.3720 [2 per cell]  2 Tc 2.70, 4 Te 2.71

- DOS(E_F) (states/eV/atom) = 0.69
- magnetic moment (μB per cell) = 0.00

It comes down to run 2, which is 0.149 eV/atom more stable than the next structure.

Run 1
Computed, not measured: a relaxed structure of TcTeIr at the PBE level of DFT.

a = 8.7748 Å, b = 2.9722 Å, c = 9.4677 Å
α = 90.00°, β = 95.16°, γ = 90.00°
With the nearest neighbours (Å) after each atom.
Space group Cm (No. 8)
Symmetry-distinct sites (fractional):
Tc 0.0000 0.0000 0.0000 [2 per cell]  3 Tc 2.56, 5 Ir 2.61-2.79
Tc 0.2287 0.5000 0.0798 [2 per cell]  3 Tc 2.56, 5 Ir 2.61-2.80, 1 Te 2.82
Te 0.0272 0.5000 0.7119 [2 per cell]  3 Ir 2.79-2.82, 2 Te 2.97
Te 0.2404 0.5000 0.3780 [2 per cell]  3 Ir 2.75-2.95, 1 Tc 2.82, 2 Te 2.97
Ir 0.2647 0.0000 0.8581 [2 per cell]  5 Tc 2.61-2.79, 3 Te 2.79-2.82
Ir 0.4614 0.0000 0.2206 [2 per cell]  5 Tc 2.61-2.80, 1 Te 2.75

- DOS(E_F) (states/eV/atom) = 0.94
- magnetic moment (μB per cell) = 0.00

Run 2
Computed, not measured: a relaxed structure of TcTeIr at the PBE level of DFT.

a = 4.3612 Å, b = 4.3612 Å, c = 3.1552 Å
α = 90.00°, β = 90.00°, γ = 120.00°
With the nearest neighbours (Å) after each atom.
Space group P3m1 (No. 156)
Symmetry-distinct sites (fractional):
Tc 0.0000 0.0000 0.0000 [1 per cell]  3 Te 2.64, 3 Ir 2.94
Te 0.6667 0.3333 0.2540 [1 per cell]  3 Tc 2.64, 3 Ir 2.65
Ir 0.3333 0.6667 0.5199 [1 per cell]  3 Te 2.65, 3 Tc 2.94

- DOS(E_F) (states/eV/atom) = 1.38
- magnetic moment (μB per cell) = 0.00

Run 3
Computed, not measured: a relaxed structure of TcTeIr at the PBE level of DFT.

a = 3.0393 Å, b = 4.0644 Å, c = 8.3130 Å
α = 90.00°, β = 90.00°, γ = 90.00°
With the nearest neighbours (Å) after each atom.
Space group Imm2 (No. 44)
Symmetry-distinct sites (fractional):
Tc 0.0000 0.0000 0.0000 [2 per cell]  5 Te 2.69-2.93, 5 Ir 2.81-2.95
Te 0.0000 0.0000 0.6759 [2 per cell]  5 Ir 2.67-2.94, 5 Tc 2.69-2.93
Ir 0.0000 0.0000 0.3551 [2 per cell]  5 Te 2.67-2.94, 5 Tc 2.81-2.95

- DOS(E_F) (states/eV/atom) = 1.47
- magnetic moment (μB per cell) = 0.00

It comes down to run 1, which is 0.423 eV/atom more stable than the next structure.

Run 1
Computed, not measured: a relaxed structure of TcTeIr at the PBE level of DFT.

a = 2.8807 Å, b = 4.7529 Å, c = 9.9825 Å
α = 100.70°, β = 98.08°, γ = 90.00°
With the nearest neighbours (Å) after each atom.
Space group P-1 (No. 2)
Symmetry-distinct sites (fractional):
Tc 0.0511 0.3810 0.1049 [2 per cell]  1 Tc 2.54, 6 Ir 2.62-2.83
Te 0.3350 0.3226 0.6605 [2 per cell]  1 Ir 2.65, 2 Tc 2.86-2.87, 2 Te 2.88
Ir 0.4492 0.1314 0.8955 [2 per cell]  3 Ir 2.61-2.88, 6 Tc 2.62-2.83, 1 Te 2.65

- DOS(E_F) (states/eV/atom) = 0.44
- magnetic moment (μB per cell) = 0.00

Run 2
Computed, not measured: a relaxed structure of TcTeIr at the PBE level of DFT.

a = 2.9508 Å, b = 4.3536 Å, c = 9.6531 Å
α = 90.00°, β = 98.83°, γ = 90.00°
With the nearest neighbours (Å) after each atom.
Space group P2_1/m (No. 11)
Symmetry-distinct sites (fractional):
Tc 0.0365 0.2500 0.0725 [2 per cell]  2 Tc 2.58, 6 Ir 2.69-2.77, 2 Te 2.87-2.88
Te 0.3350 0.7500 0.6690 [2 per cell]  2 Ir 2.70, 2 Tc 2.87-2.88, 2 Te 2.95
Ir 0.4181 0.2500 0.8368 [2 per cell]  6 Tc 2.69-2.77, 2 Te 2.70, 2 Ir 2.95

- DOS(E_F) (states/eV/atom) = 0.85
- magnetic moment (μB per cell) = 0.00

It comes down to run 2, which is 0.060 eV/atom more stable than the next structure.

Run 1
Computed, not measured: a relaxed structure of TcTeIr at the PBE level of DFT.

a = 2.9567 Å, b = 4.6118 Å, c = 9.6374 Å
α = 87.71°, β = 89.68°, γ = 71.33°
With the nearest neighbours (Å) after each atom.
Space group P-1 (No. 2)
Symmetry-distinct sites (fractional):
Tc 0.1385 0.2235 0.4629 [2 per cell]  3 Tc 2.53-2.55, 5 Ir 2.61-2.81
Te 0.1488 0.2179 0.1676 [2 per cell]  3 Ir 2.73-2.93, 1 Tc 2.85, 2 Te 2.96
Ir 0.4156 0.6761 0.3199 [2 per cell]  5 Tc 2.61-2.81, 1 Te 2.73

- DOS(E_F) (states/eV/atom) = 0.70
- magnetic moment (μB per cell) = 0.00

Run 2
Computed, not measured: a relaxed structure of TcTeIr at the PBE level of DFT.

a = 3.0205 Å, b = 3.0205 Å, c = 11.6817 Å
α = 90.00°, β = 90.00°, γ = 90.00°
With the nearest neighbours (Å) after each atom.
Space group I4mm (No. 107)
Symmetry-distinct sites (fractional):
Tc 0.0000 0.0000 0.0000 [2 per cell]  4 Ir 2.66, 4 Te 2.90
Te 0.0000 0.0000 0.3323 [2 per cell]  4 Tc 2.90, 4 Te 3.02, 4 Ir 3.14
Ir 0.0000 0.0000 0.6351 [2 per cell]  4 Tc 2.66

- DOS(E_F) (states/eV/atom) = 1.32
- magnetic moment (μB per cell) = 0.00

It comes down to run 1, which is 0.353 eV/atom more stable than the next structure.